Computed, not measured: a geometry-optimized Sc8Ga2Ni structure at the GGA-PBE level of DFT.

Energy relative to the elements in meV per atom: -244
E in eV/atom: -5.92
E above lowest polymorph in eV per atom: 0.069

Cell lengths 7.8741, 7.8741, 7.8741 Å; angles 146.17, 120.94, 69.83 degrees
Fractional positions:
Sc 0.1272 0.1272 0.0000
Sc 0.1265 0.3434 0.7831
Sc 0.3218 0.0000 0.3218
Sc 0.4397 0.6566 0.7831
Sc 0.5603 0.3434 0.2169
Sc 0.6782 0.0000 0.6782
Sc 0.8735 0.6566 0.2169
Sc 0.8728 0.8728 0.0000
Ga 0.3016 0.8016 0.5000
Ga 0.6984 0.1984 0.5000
Ni 0.0000 0.5000 0.5000


Computed, not measured: a geometry-optimized U2Ga5Ir3 structure at the GGA-PBE level of DFT.

Energy relative to the elements in meV per atom: -490
E in eV/atom: -6.92

Cell lengths 12.4905, 12.4905, 6.7720 Å; angles 90.00, 90.00, 160.30 degrees
Fractional positions:
U 0.0191 0.9809 0.5000
U 0.3252 0.6748 0.4334
U 0.6748 0.3252 0.9334
U 0.9809 0.0191 0.0000
Ga 0.1032 0.8968 0.1395
Ga 0.2054 0.7946 0.6183
Ga 0.2080 0.7920 0.2228
Ga 0.3740 0.6260 0.9821
Ga 0.4464 0.5536 0.3287
Ga 0.5536 0.4464 0.8287
Ga 0.6260 0.3740 0.4821
Ga 0.7920 0.2080 0.7228
Ga 0.7946 0.2054 0.1183
Ga 0.8968 0.1032 0.6395
Ir 0.1068 0.8932 0.7447
Ir 0.2700 0.7300 0.9177
Ir 0.4526 0.5474 0.7203
Ir 0.5474 0.4526 0.2203
Ir 0.7300 0.2700 0.4177
Ir 0.8932 0.1068 0.2447


Computed, not measured: a geometry-optimized YMgCrW2 structure at the GGA-PBE level of DFT.

Energy relative to the elements in meV per atom: 1804
E in eV/atom: -6.91

Cell lengths 4.8147, 4.8147, 4.5959 Å; angles 90.00, 90.00, 90.00 degrees
Fractional positions:
Y 0.0000 0.0000 0.0000
Mg 0.5000 0.5000 0.5000
Cr 0.5000 0.5000 0.0000
W 0.0000 0.5000 0.5000
W 0.5000 0.0000 0.5000


Computed, not measured: a geometry-optimized Ca2PPb structure at the GGA-PBE level of DFT.

Energy relative to the elements in meV per atom: -568
E in eV/atom: -3.85
E above lowest polymorph in eV per atom: 0.120

Cell lengths 5.1835, 5.1835, 5.9195 Å; angles 109.60, 109.60, 47.63 degrees
Fractional positions:
Ca 0.2203 0.2203 0.2091
Ca 0.7797 0.7797 0.7909
P 0.5000 0.5000 0.0000
Pb 0.0000 0.0000 0.5000